Below is BaLiTa2 at its PBEsol-relaxed geometry, with properties calculated at the SCAN level.

Results
D(E_F) (states/eV/atom): 0.900
Total energy (eV per atom): -43.108
Theoretical density (Mg/m³): 9.25
Formation energy from the elements (kcal/mol of atoms): 15.41

Unit cell a=3.0353 b=3.0353 c=10.5339 alpha=90.00 beta=90.00 gamma=110.64
Fractional positions:
Ba1 0.0000 0.0000 0.0000
Li1 0.5000 0.5000 0.6989
Ta1 0.0000 0.0000 0.4763
Ta2 0.5000 0.5000 0.2837


Below is BaLiTa2 at its PBEsol-relaxed geometry, with properties calculated at the SCAN level.

Results
D(E_F) (states/eV/atom): 1.371
Total energy (eV per atom): -42.636
Theoretical density (Mg/m³): 9.71
Formation energy from the elements (kcal/mol of atoms): 26.31

Unit cell a=4.0393 b=4.0393 c=5.3062 alpha=90.00 beta=90.00 gamma=90.00
Fractional positions:
Ba1 0.0000 0.0000 0.0000
Li1 0.5000 0.5000 0.0000
Ta1 0.0000 0.5000 0.5000
Ta2 0.5000 0.0000 0.5000


Below is BaLi2Ta at its PBEsol-relaxed geometry, with properties calculated at the SCAN level.

Results
D(E_F) (states/eV/atom): 0.805
Total energy (eV per atom): -26.860
Theoretical density (Mg/m³): 6.16
Formation energy from the elements (kcal/mol of atoms): 20.02

Unit cell a=5.8522 b=5.8522 c=2.9015 alpha=95.98 beta=95.98 gamma=113.48
Fractional positions:
Ba1 0.0000 0.0000 0.0000
Li1 0.0000 0.5000 0.5000
Li2 0.5000 0.0000 0.5000
Ta1 0.5000 0.5000 0.0000


Question: Look up the D(E_F) of the second one.
Answer: 1.371 states/eV/atom


Question: Among the records above, which one has the highest total energy?
Answer: BaLi2Ta


Repeat the second record exactly.
Below is BaLiTa2 at its PBEsol-relaxed geometry, with properties calculated at the SCAN level.

Results
D(E_F) (states/eV/atom): 1.371
Total energy (eV per atom): -42.636
Theoretical density (Mg/m³): 9.71
Formation energy from the elements (kcal/mol of atoms): 26.31

Unit cell a=4.0393 b=4.0393 c=5.3062 alpha=90.00 beta=90.00 gamma=90.00
Fractional positions:
Ba1 0.0000 0.0000 0.0000
Li1 0.5000 0.5000 0.0000
Ta1 0.0000 0.5000 0.5000
Ta2 0.5000 0.0000 0.5000